Record 1
This record from Alexandria via LeMat-Bulk describes a relaxed RbHoTe3Pb crystal. The functional is PBE.

Magnetization = 0.0 μB/f.u.
DFT total energy = -49.289 eV/cell
V = 41.00 Å³ per atom

Cell: 4.4899 9.5713 12.0745 Å, 108.51 90.00 90.00°
With the nearest neighbours (Å) after each atom.
Positions (direct):
Te (0.2500, 0.6365, 0.4140)  2 Pb 3.03, 1 Ho 3.15
Te (0.7500, 0.8736, 0.1963)  1 Pb 2.97, 2 Ho 3.14
Te (0.2500, 0.5981, 0.8922)  3 Ho 3.05-3.08
Te (0.7500, 0.3635, 0.5860)  2 Pb 3.03, 1 Ho 3.15
Te (0.7500, 0.4019, 0.1078)  3 Ho 3.05-3.08
Te (0.2500, 0.1264, 0.8037)  1 Pb 2.97, 2 Ho 3.14
Ho (0.2500, 0.6329, 0.1520)  6 Te 3.05-3.15
Ho (0.7500, 0.3671, 0.8480)  6 Te 3.05-3.15
Rb (0.2500, 0.2129, 0.2528)  5 Te 3.66-3.90, 1 Pb 4.00
Rb (0.7500, 0.7871, 0.7472)  5 Te 3.66-3.90, 1 Pb 4.00
Pb (0.7500, 0.8571, 0.4378)  3 Te 2.97-3.03
Pb (0.2500, 0.1429, 0.5622)  3 Te 2.97-3.03

---

Record 2
This record from Alexandria via LeMat-Bulk describes a relaxed GaHg2Br2 crystal. The functional is PBE.

Magnetization = 0.0 μB/f.u.
Fermi-level density of states = 0.97 states/eV/f.u.
DFT total energy = -15.701 eV/cell
V = 39.59 Å³ per atom

Cell: 8.5718 8.5718 5.3876 Å, 90.00 90.00 90.00°
With the nearest neighbours (Å) after each atom.
Positions (direct):
Br (0.2677, 0.2323, 0.0000)  2 Hg 3.04, 2 Ga 3.04
Br (0.7677, 0.2677, 0.0000)  2 Hg 3.04, 2 Ga 3.04
Br (0.2323, 0.7323, 0.0000)  2 Hg 3.04, 2 Ga 3.04
Br (0.7323, 0.7677, 0.0000)  2 Hg 3.04, 2 Ga 3.04
Hg (0.8836, 0.3836, 0.5000)  1 Hg 2.82, 2 Br 3.04
Hg (0.3836, 0.1164, 0.5000)  1 Hg 2.82, 2 Br 3.04
Hg (0.1164, 0.6164, 0.5000)  1 Hg 2.82, 2 Br 3.04
Hg (0.6164, 0.8836, 0.5000)  1 Hg 2.82, 2 Br 3.04
Ga (0.0000, 0.0000, 0.0000)  4 Br 3.04
Ga (0.5000, 0.5000, 0.0000)  4 Br 3.04

---

Record 3
This record from Alexandria via LeMat-Bulk describes a relaxed TaCoSi2 crystal. The functional is PBE.

Magnetization = 0.0 μB/f.u.
Fermi-level density of states = 4.91 states/eV/f.u.
DFT total energy = -29.910 eV/cell
V = 13.53 Å³ per atom

Cell: 4.2458 4.2458 4.2458 Å, 60.00 60.00 60.00°
With the nearest neighbours (Å) after each atom.
Positions (direct):
Si (0.2500, 0.2500, 0.2500)  4 Ta 2.60, 4 Co 2.60
Si (0.7500, 0.7500, 0.7500)  4 Ta 2.60, 4 Co 2.60
Co (0.0000, 0.0000, 0.0000)  8 Si 2.60
Ta (0.5000, 0.5000, 0.5000)  8 Si 2.60